The following is a DFT calculation (GGA-PBE) of crystalline DyMg4Ga2 at its relaxed geometry.

a b c (Å): 4.2827 8.4486 8.4486
angles (deg): 90.00 90.00 90.00
Last column: nearest neighbours and their distance in Å.
Fractional coordinates of all 14 atoms:
Dy 0.5000 0.0000 0.0000  4 Ga 3.13
Dy 0.0000 0.5000 0.5000  4 Ga 3.13
Mg 0.0000 0.0979 0.3378  3 Ga 2.74-2.80, 1 Mg 2.87
Mg 0.0000 0.9021 0.6622  3 Ga 2.74-2.80, 1 Mg 2.87
Mg 0.5000 0.1622 0.5979  3 Ga 2.74-2.80, 1 Mg 2.87
Mg 0.5000 0.8378 0.4021  3 Ga 2.74-2.80, 1 Mg 2.87
Mg 0.5000 0.4021 0.8378  3 Ga 2.74-2.80, 1 Mg 2.87
Mg 0.5000 0.5979 0.1622  3 Ga 2.74-2.80, 1 Mg 2.87
Mg 0.0000 0.3378 0.0979  3 Ga 2.74-2.80, 1 Mg 2.87
Mg 0.0000 0.6622 0.9021  3 Ga 2.74-2.80, 1 Mg 2.87
Ga 0.0000 0.1912 0.8088  6 Mg 2.74-2.80
Ga 0.0000 0.8088 0.1912  6 Mg 2.74-2.80
Ga 0.5000 0.6912 0.6912  6 Mg 2.74-2.80
Ga 0.5000 0.3088 0.3088  6 Mg 2.74-2.80

Calculated values
E, eV/atom: -2.673
Excess energy over the best structure of this formula in the dataset, kJ/mol of atoms: 0.56
Space group: No. 136
Density of states at the Fermi level, states/eV/cell: 5.62
Magnetization, μB per formula unit: 0.00